An optimized crystal structure of LiTbAlPd, computed with PBE.

The structure in POSCAR format:
```
LiTbAlPd
1.0
-0.740 3.853 0.723
-1.261 -0.753 2.722
6.089 0.922 1.318
Al Li Tb Pd
1 1 1 1
direct
0.000 0.594 0.188 Al
0.500 0.477 0.955 Li
0.500 0.247 0.494 Tb
0.000 0.910 0.819 Pd
```

Summary:
calculated volume: 18.8 Å³ per atom
D(E_F): 2.0 states/eV/cell
energy above the lowest structure with this stoichiometry: 220.5 meV per atom
symmetry: Amm2, No. 38
formation enthalpy at 0 K: -350 meV/atom
raw total energy: -16.9 eV/cell

An optimized crystal structure of SbRhPbSe2, computed with PBE.

The structure in POSCAR format:
```
SbRhPbSe2
1.0
-5.056 1.387 0.037
-1.367 -5.052 2.504
0.630 2.173 4.730
Sb Se Pb Rh
1 2 1 1
direct
0.000 0.000 0.000 Sb
0.000 0.000 0.500 Se
0.500 0.000 0.000 Se
0.000 0.500 0.000 Pb
0.500 0.500 0.500 Rh
```

Summary:
calculated volume: 31.9 Å³ per atom
D(E_F): 6.1 states/eV/cell
symmetry: P4/mmm, No. 123
raw total energy: -17.1 eV/cell
raw formation energy: 1011 meV per atom

An optimized crystal structure of Tl6InBi3, computed with PBE.

The structure in POSCAR format:
```
Tl6InBi3
1.0
5.209 0.000 0.000
0.000 10.902 -0.827
0.000 -4.547 12.637
Tl Bi In
12 6 2
direct
0.750 0.738 0.830 Tl
0.750 0.428 0.557 Tl
0.250 0.579 0.941 Tl
0.750 0.737 0.347 Tl
0.750 0.782 0.108 Tl
0.250 0.263 0.653 Tl
0.750 0.071 0.444 Tl
0.250 0.218 0.892 Tl
0.250 0.262 0.170 Tl
0.250 0.929 0.556 Tl
0.750 0.421 0.059 Tl
0.250 0.572 0.443 Tl
0.250 0.910 0.002 Bi
0.750 0.408 0.801 Bi
0.250 0.247 0.404 Bi
0.750 0.090 0.998 Bi
0.750 0.753 0.596 Bi
0.250 0.592 0.199 Bi
0.750 0.070 0.747 In
0.250 0.930 0.253 In
```

Summary:
calculated volume: 34.9 Å³ per atom
D(E_F): 7.4 states/eV/cell
energy above the lowest structure with this stoichiometry: 0.0 meV per atom
symmetry: P2_1/m, No. 11
formation enthalpy at 0 K: 28 meV/atom
raw total energy: -56.6 eV/cell

An optimized crystal structure of Li4NdSi2, computed with PBE.

The structure in POSCAR format:
```
Li4NdSi2
1.0
-3.625 -0.080 -2.223
-1.243 -3.117 2.140
-2.787 6.610 4.309
Li Nd Si
4 1 2
direct
0.500 0.823 0.645 Li
0.000 0.328 0.656 Li
0.500 0.177 0.355 Li
0.000 0.672 0.344 Li
0.000 0.000 0.000 Nd
0.500 0.428 0.856 Si
0.500 0.572 0.144 Si
```

Summary:
calculated volume: 19.7 Å³ per atom
D(E_F): 3.3 states/eV/cell
symmetry: Cmmm, No. 65
raw total energy: -25.5 eV/cell
raw formation energy: -320 meV per atom

An optimized crystal structure of Ag3RuCl8, computed with PBE.

The structure in POSCAR format:
```
Ag3RuCl8
1.0
-3.239 3.166 -4.989
-0.209 -6.735 -0.059
-6.518 0.164 4.337
Ag Cl Ru
3 8 1
direct
0.000 0.500 0.241 Ag
0.500 0.000 0.759 Ag
0.500 0.500 0.000 Ag
0.271 0.260 0.710 Cl
0.294 0.706 0.500 Cl
0.284 0.716 0.000 Cl
0.729 0.740 0.710 Cl
0.716 0.284 0.000 Cl
0.260 0.271 0.290 Cl
0.740 0.729 0.290 Cl
0.706 0.294 0.500 Cl
0.500 0.500 0.500 Ru
```

Summary:
calculated volume: 26.5 Å³ per atom
D(E_F): 8.9 states/eV/cell
symmetry: C222, No. 21
raw total energy: -38.0 eV/cell
raw formation energy: -448 meV per atom

An optimized crystal structure of MgGa2Cl, computed with PBE.

The structure in POSCAR format:
```
MgGa2Cl
1.0
0.000 3.579 3.579
3.579 0.000 3.579
3.579 3.579 0.000
Cl Mg Ga
1 1 2
direct
0.500 0.500 0.500 Cl
0.000 0.000 0.000 Mg
0.250 0.250 0.250 Ga
0.750 0.750 0.750 Ga
```

Summary:
calculated volume: 22.9 Å³ per atom
D(E_F): 6.0 states/eV/cell
energy above the lowest structure with this stoichiometry: 0.0 meV per atom
symmetry: Fm-3m, No. 225
raw total energy: -9.5 eV/cell
raw formation energy: -3 meV per atom